AlFeRePd: optimized geometry, PBE.

Results
The value obtained for the relative energy among the computed polymorphs is 0.0 kJ/mol of atoms. As for the space group: F-43m (216).

a = 4.291 Å, b = 4.291 Å, c = 4.291 Å
α = 60.00°, β = 60.00°, γ = 60.00°
Fractional coordinates of all 4 atoms:
1 Al 0.000 0.000 0.000
2 Fe 0.750 0.750 0.750
3 Pd 0.250 0.250 0.250
4 Re 0.500 0.500 0.500



TaAlFePd: optimized geometry, PBE.

Results
The value obtained for the relative energy among the computed polymorphs is 29.0 kJ/mol of atoms. As for the space group: F-43m (216).

a = 4.407 Å, b = 4.407 Å, c = 4.407 Å
α = 60.00°, β = 60.00°, γ = 60.00°
Fractional coordinates of all 4 atoms:
1 Al 0.000 0.000 0.000
2 Fe 0.750 0.750 0.750
3 Pd 0.500 0.500 0.500
4 Ta 0.250 0.250 0.250



AlFePdW: optimized geometry, PBE.

Results
The value obtained for the relative energy among the computed polymorphs is 0.0 kJ/mol of atoms. As for the space group: F-43m (216).

a = 4.321 Å, b = 4.321 Å, c = 4.321 Å
α = 60.00°, β = 60.00°, γ = 60.00°
Fractional coordinates of all 4 atoms:
1 Al 0.000 0.000 0.000
2 Fe 0.750 0.750 0.750
3 Pd 0.250 0.250 0.250
4 W 0.500 0.500 0.500



AlFePdW: optimized geometry, PBE.

Results
The value obtained for the relative energy among the computed polymorphs is 19.9 kJ/mol of atoms. As for the space group: F-43m (216).

a = 4.338 Å, b = 4.338 Å, c = 4.338 Å
α = 60.00°, β = 60.00°, γ = 60.00°
Fractional coordinates of all 4 atoms:
1 Al 0.000 0.000 0.000
2 Fe 0.750 0.750 0.750
3 Pd 0.500 0.500 0.500
4 W 0.250 0.250 0.250



PmAlFe: optimized geometry, PBE.

Results
The value obtained for the relative energy among the computed polymorphs is 70.2 kJ/mol of atoms. As for the space group: F-43m (216).

a = 4.650 Å, b = 4.650 Å, c = 4.650 Å
α = 60.00°, β = 60.00°, γ = 60.00°
Fractional coordinates of all 3 atoms:
1 Al 0.250 0.250 0.250
2 Fe 0.750 0.750 0.750
3 Pm 0.000 0.000 0.000



PmAlFe: optimized geometry, PBE.

Results
The value obtained for the relative energy among the computed polymorphs is 0.0 kJ/mol of atoms. As for the space group: F-43m (216).

a = 4.432 Å, b = 4.432 Å, c = 4.432 Å
α = 60.00°, β = 60.00°, γ = 60.00°
Fractional coordinates of all 3 atoms:
1 Al 0.250 0.250 0.250
2 Fe 0.000 0.000 0.000
3 Pm 0.750 0.750 0.750



Al2FePt: optimized geometry, PBE.

Results
The value obtained for the total energy is -5.791 eV per atom. As for the space group: F-43m (216).

a = 4.306 Å, b = 4.306 Å, c = 4.306 Å
α = 60.00°, β = 60.00°, γ = 60.00°
Fractional coordinates of all 4 atoms:
1 Al 0.000 0.000 0.000
2 Al 0.750 0.750 0.750
3 Fe 0.250 0.250 0.250
4 Pt 0.500 0.500 0.500



AlFeTcPt: optimized geometry, PBE.

Results
The value obtained for the relative energy among the computed polymorphs is 0.0 kJ/mol of atoms. As for the space group: F-43m (216).

a = 4.319 Å, b = 4.319 Å, c = 4.319 Å
α = 60.00°, β = 60.00°, γ = 60.00°
Fractional coordinates of all 4 atoms:
1 Al 0.000 0.000 0.000
2 Fe 0.750 0.750 0.750
3 Pt 0.250 0.250 0.250
4 Tc 0.500 0.500 0.500



YAlFePt: optimized geometry, PBE.

Results
The value obtained for the relative energy among the computed polymorphs is 22.3 kJ/mol of atoms. As for the space group: F-43m (216).

a = 4.616 Å, b = 4.616 Å, c = 4.616 Å
α = 60.00°, β = 60.00°, γ = 60.00°
Fractional coordinates of all 4 atoms:
1 Al 0.000 0.000 0.000
2 Fe 0.750 0.750 0.750
3 Pt 0.500 0.500 0.500
4 Y 0.250 0.250 0.250



YAlFePt: optimized geometry, PBE.

Results
The value obtained for the relative energy among the computed polymorphs is 0.0 kJ/mol of atoms. As for the space group: F-43m (216).

a = 4.593 Å, b = 4.593 Å, c = 4.593 Å
α = 60.00°, β = 60.00°, γ = 60.00°
Fractional coordinates of all 4 atoms:
1 Al 0.000 0.000 0.000
2 Fe 0.750 0.750 0.750
3 Pt 0.250 0.250 0.250
4 Y 0.500 0.500 0.500



ZrAlFePt: optimized geometry, PBE.

Results
The value obtained for the relative energy among the computed polymorphs is 29.0 kJ/mol of atoms. As for the space group: F-43m (216).

a = 4.528 Å, b = 4.528 Å, c = 4.528 Å
α = 60.00°, β = 60.00°, γ = 60.00°
Fractional coordinates of all 4 atoms:
1 Al 0.000 0.000 0.000
2 Fe 0.750 0.750 0.750
3 Pt 0.500 0.500 0.500
4 Zr 0.250 0.250 0.250



ZrAlFePt: optimized geometry, PBE.

Results
The value obtained for the relative energy among the computed polymorphs is 0.0 kJ/mol of atoms. As for the space group: F-43m (216).

a = 4.455 Å, b = 4.455 Å, c = 4.455 Å
α = 60.00°, β = 60.00°, γ = 60.00°
Fractional coordinates of all 4 atoms:
1 Al 0.000 0.000 0.000
2 Fe 0.750 0.750 0.750
3 Pt 0.250 0.250 0.250
4 Zr 0.500 0.500 0.500



Values of calculated volume, in order: 13.97; 15.14; 14.26; 14.43; 23.70; 20.52; 14.11; 14.25; 17.39; 17.13; 16.42; 15.63, all in A^3/atom.